# 1
VASP calculation (GGA-PBE) on an optimized crystal structure of Ca2ScIn3.

Lattice parameters (Å, degrees): 5.272 15.802 7.614 90.00 90.00 90.00
Space group Cmmm (No. 65)
Asymmetric unit:
Ca 0.000 0.000 0.000
Ca 0.000 0.000 0.500
Ca 0.000 0.337 0.000
Sc 0.000 0.335 0.500
In 0.000 0.172 0.268
In 0.000 0.500 0.265

# 2
VASP calculation (GGA-PBE) on an optimized crystal structure of CaSc2In.

Lattice parameters (Å, degrees): 3.4278 3.4278 32.2172 90.00 90.00 120.00
Space group R3m (No. 160, hexagonal axes)
Asymmetric unit:
Ca 0.0000 0.0000 0.0000
Sc 0.0000 0.0000 0.5068
Sc 0.0000 0.0000 0.7616
In 0.0000 0.0000 0.2505

| no. | magnetization (μB/atom) | final energy (eV per atom) |
| --- | --- | --- |
| 1 | 0.000 | -3.523 |
| 2 | 0.250 | -4.408 |